No. 1
Below is a geometry-optimized Mg2Tl6Pb structure, with properties calculated at the GGA-PBE level.

a b c (Å): 12.753 3.619 11.601
angles (deg): 90.00 106.27 90.00
Space group C2/m (No. 12)
Unique sites:
1 Mg 0.153 0.000 0.204 [4 per cell]
2 Tl 0.020 0.500 0.344 [4 per cell]
3 Tl 0.172 0.000 0.881 [4 per cell]
4 Tl 0.182 0.000 0.584 [4 per cell]
5 Pb 0.000 0.500 0.000 [2 per cell]

## Properties
E above lowest polymorph   0 meV per atom
Formation energy from the elements   -0.0012 eV/atom
DOS at the Fermi energy   3.80 states/eV/f.u.

No. 2
Below is a geometry-optimized Mg9TlPb2 structure, with properties calculated at the GGA-PBE level.

a b c (Å): 4.577 4.577 13.617
angles (deg): 90.00 90.00 90.00
Space group P4/mmm (No. 123)
Unique sites:
1 Mg 0.000 0.000 0.000 [1 per cell]
2 Mg 0.000 0.000 0.333 [2 per cell]
3 Mg 0.000 0.500 0.164 [4 per cell]
4 Mg 0.000 0.500 0.500 [2 per cell]
5 Tl 0.500 0.500 0.000 [1 per cell]
6 Pb 0.500 0.500 0.331 [2 per cell]

## Properties
Formation energy from the elements   -0.0438 eV/atom
DOS at the Fermi energy   4.89 states/eV/f.u.

No. 3
Below is a geometry-optimized Mg3TlPb structure, with properties calculated at the GGA-PBE level.

a b c (Å): 5.342 5.342 5.342
angles (deg): 90.00 90.00 90.00
Space group Pm-3m (No. 221)
Unique sites:
1 Mg 0.000 0.000 0.500 [3 per cell]
2 Tl 0.000 0.000 0.000 [1 per cell]
3 Pb 0.500 0.500 0.500 [1 per cell]

## Properties
E above lowest polymorph   335 meV per atom
Formation energy from the elements   0.3122 eV/atom
DOS at the Fermi energy   3.11 states/eV/f.u.

No. 4
Below is a geometry-optimized MgTl3Pb structure, with properties calculated at the GGA-PBE level.

a b c (Å): 5.513 5.513 5.513
angles (deg): 90.00 90.00 90.00
Space group Pm-3m (No. 221)
Unique sites:
1 Mg 0.000 0.000 0.000 [1 per cell]
2 Tl 0.000 0.000 0.500 [3 per cell]
3 Pb 0.500 0.500 0.500 [1 per cell]

## Properties
E above lowest polymorph   259 meV per atom
Formation energy from the elements   0.2801 eV/atom
DOS at the Fermi energy   5.85 states/eV/f.u.

No. 5
Below is a geometry-optimized Mg2Tl3Pb structure, with properties calculated at the GGA-PBE level.

a b c (Å): 3.651 3.651 12.201
angles (deg): 90.00 90.00 90.00
Space group P4/mmm (No. 123)
Unique sites:
1 Mg 0.000 0.000 0.157 [2 per cell]
2 Tl 0.500 0.500 0.000 [1 per cell]
3 Tl 0.500 0.500 0.310 [2 per cell]
4 Pb 0.000 0.000 0.500 [1 per cell]

## Properties
Formation energy from the elements   -0.0147 eV/atom
DOS at the Fermi energy   1.30 states/eV/f.u.

No. 6
Below is a geometry-optimized MgTl4Pb4 structure, with properties calculated at the GGA-PBE level.

a b c (Å): 10.522 10.522 4.912
angles (deg): 90.00 90.00 90.00
Space group I4/mmm (No. 139)
Unique sites:
1 Mg 0.000 0.000 0.000 [2 per cell]
2 Tl 0.000 0.328 0.000 [8 per cell]
3 Pb 0.161 0.161 0.500 [8 per cell]

## Properties
Formation energy from the elements   -0.0048 eV/atom
DOS at the Fermi energy   2.95 states/eV/f.u.

No. 7
Below is a geometry-optimized Mg8Tl2Pb structure, with properties calculated at the GGA-PBE level.

a b c (Å): 16.472 4.573 7.362
angles (deg): 90.00 107.69 90.00
Space group C2/m (No. 12)
Unique sites:
1 Mg 0.041 0.000 0.227 [4 per cell]
2 Mg 0.092 0.500 0.961 [4 per cell]
3 Mg 0.144 0.000 0.695 [4 per cell]
4 Mg 0.180 0.500 0.415 [4 per cell]
5 Tl 0.218 0.000 0.153 [4 per cell]
6 Pb 0.000 0.500 0.500 [2 per cell]

## Properties
Formation energy from the elements   -0.0319 eV/atom
DOS at the Fermi energy   4.15 states/eV/f.u.

No. 8
Below is a geometry-optimized MgTlPb4 structure, with properties calculated at the GGA-PBE level.

a b c (Å): 3.479 3.479 14.720
angles (deg): 90.00 90.13 90.00
Space group P2/m (No. 10)
Unique sites:
1 Mg 0.000 0.000 0.000 [1 per cell]
2 Tl 0.500 0.500 0.500 [1 per cell]
3 Pb 0.000 0.000 0.321 [2 per cell]
4 Pb 0.500 0.500 0.147 [2 per cell]

## Properties
E above lowest polymorph   0 meV per atom
Formation energy from the elements   -0.0132 eV/atom
DOS at the Fermi energy   3.13 states/eV/f.u.

No. 9
Below is a geometry-optimized Mg2Tl4Pb5 structure, with properties calculated at the GGA-PBE level.

a b c (Å): 9.002 20.488 3.540
angles (deg): 90.00 90.00 90.00
Space group Pbam (No. 55)
Unique sites:
1 Mg 0.138 0.216 0.000 [4 per cell]
2 Tl 0.015 0.647 0.000 [4 per cell]
3 Tl 0.173 0.945 0.000 [4 per cell]
4 Pb 0.000 0.500 0.500 [2 per cell]
5 Pb 0.152 0.801 0.500 [4 per cell]
6 Pb 0.167 0.089 0.500 [4 per cell]

## Properties
Formation energy from the elements   -0.0029 eV/atom
DOS at the Fermi energy   3.93 states/eV/f.u.

No. 10
Below is a geometry-optimized Mg4TlPb structure, with properties calculated at the GGA-PBE level.

a b c (Å): 10.663 3.453 8.861
angles (deg): 90.00 115.13 90.00
Space group C2/m (No. 12)
Unique sites:
1 Mg 0.166 0.000 0.329 [4 per cell]
2 Mg 0.166 0.000 0.837 [4 per cell]
3 Tl 0.000 0.500 0.000 [2 per cell]
4 Pb 0.000 0.500 0.500 [2 per cell]

## Properties
E above lowest polymorph   0 meV per atom
Formation energy from the elements   -0.0343 eV/atom
DOS at the Fermi energy   2.43 states/eV/f.u.

No. 11
Below is a geometry-optimized MgTlPb structure, with properties calculated at the GGA-PBE level.

a b c (Å): 3.484 3.484 13.789
angles (deg): 90.00 90.00 90.00
Space group I4mm (No. 107)
Unique sites:
1 Mg 0.000 0.000 0.000 [2 per cell]
2 Tl 0.000 0.000 0.343 [2 per cell]
3 Pb 0.000 0.000 0.655 [2 per cell]

## Properties
E above lowest polymorph   0 meV per atom
Formation energy from the elements   -0.0189 eV/atom
DOS at the Fermi energy   1.02 states/eV/f.u.

No. 12
Below is a geometry-optimized MgTl2Pb8 structure, with properties calculated at the GGA-PBE level.

a b c (Å): 13.747 8.919 6.697
angles (deg): 90.00 111.21 90.00
Space group C2/m (No. 12)
Unique sites:
1 Mg 0.000 0.000 0.000 [2 per cell]
2 Tl 0.235 0.500 0.616 [4 per cell]
3 Pb 0.004 0.500 0.741 [4 per cell]
4 Pb 0.130 0.000 0.724 [4 per cell]
5 Pb 0.158 0.287 0.097 [8 per cell]

## Properties
E above lowest polymorph   111 meV per atom
Formation energy from the elements   0.1303 eV/atom
DOS at the Fermi energy   4.80 states/eV/f.u.

Question: Which formula does entry 7 have?
Answer: Mg8Tl2Pb

Question: What is the formula in the eighth record?
Answer: MgTlPb4

Question: What is the formation energy from the elements in the fifth record?
Answer: -0.0147 eV/atom